Entry 1:
This record from OQMD describes a relaxed structure of PrHoNi8B2. The functional is PBE.

POSCAR file:
```
PrHoNi8B2
1.0
-1.437 -4.659 -1.218
2.685 2.732 -3.253
5.920 -2.545 2.750
Ni B Pr Ho
8 2 1 1
Direct
0.000 0.500 0.204 Ni
0.500 0.500 0.204 Ni
0.500 0.000 0.204 Ni
0.500 0.000 0.796 Ni
0.333 0.667 0.500 Ni
0.667 0.333 0.500 Ni
0.000 0.500 0.796 Ni
0.500 0.500 0.796 Ni
0.333 0.667 0.000 B
0.667 0.333 0.000 B
0.000 0.000 0.500 Pr
0.000 0.000 0.000 Ho
```

Excess energy over the best structure of this formula in the dataset, meV/atom: 0.0
Symmetry: P6/mmm

=====

Entry 2:
This record from OQMD describes a relaxed structure of ErP. The functional is PBE.

POSCAR file:
```
ErP
1.0
-2.995 -3.231 -0.026
-2.285 -0.915 3.654
-4.292 0.972 0.216
Er P
1 1
Direct
0.000 0.000 0.000 Er
0.250 0.250 0.250 P
```

Symmetry: F-43m
VASP energy, eV/atom: -6.0534

=====

Entry 3:
This record from OQMD describes a relaxed structure of HfTl2As. The functional is PBE.

POSCAR file:
```
HfTl2As
1.0
0.000 3.595 3.595
3.595 0.000 3.595
3.595 3.595 0.000
As Tl Hf
1 2 1
Direct
0.750 0.750 0.750 As
0.000 0.000 0.000 Tl
0.250 0.250 0.250 Tl
0.500 0.500 0.500 Hf
```

Symmetry: F-43m
VASP energy, eV/atom: -4.5409

=====

Entry 4:
This record from OQMD describes a relaxed structure of LuMgPd2. The functional is PBE.

POSCAR file:
```
LuMgPd2
1.0
2.313 -4.006 0.000
2.313 4.006 0.000
0.000 0.000 8.400
Lu Pd Mg
2 4 2
Direct
0.000 0.000 0.000 Lu
0.000 0.000 0.500 Lu
0.667 0.333 0.091 Pd
0.333 0.667 0.591 Pd
0.667 0.333 0.409 Pd
0.333 0.667 0.909 Pd
0.333 0.667 0.250 Mg
0.667 0.333 0.750 Mg
```

Symmetry: P6_3/mmc
VASP energy, eV/atom: -4.8542

=====

Entry 5:
This record from OQMD describes a relaxed structure of LiCuSbMo. The functional is PBE.

POSCAR file:
```
LiCuSbMo
1.0
0.000 3.200 3.200
3.200 0.000 3.200
3.200 3.200 0.000
Mo Cu Sb Li
1 1 1 1
Direct
0.500 0.500 0.500 Mo
0.750 0.750 0.750 Cu
0.000 0.000 0.000 Sb
0.250 0.250 0.250 Li
```

Excess energy over the best structure of this formula in the dataset, meV/atom: 169.6
Symmetry: F-43m

=====

Entry 6:
This record from OQMD describes a relaxed structure of PmUW. The functional is PBE.

POSCAR file:
```
PmUW
1.0
1.839 -4.338 -0.965
-2.926 -3.687 -0.988
-0.220 -1.765 -4.469
Pm U W
1 1 1
Direct
0.000 0.000 0.000 Pm
0.500 0.500 0.500 U
0.250 0.250 0.250 W
```

Formation energy from the elements, eV per atom: 0.98
Excess energy over the best structure of this formula in the dataset, meV/atom: 0.0
Symmetry: F-43m

=====

Entry 7:
This record from OQMD describes a relaxed structure of LaAl5CuNi. The functional is PBE.

POSCAR file:
```
LaAl5CuNi
1.0
-2.016 3.562 4.844
2.016 -3.562 4.844
2.016 3.562 -4.844
Cu Al La Ni
1 5 1 1
Direct
0.744 0.244 0.500 Cu
0.848 0.654 0.193 Al
0.159 0.343 0.816 Al
0.528 0.343 0.184 Al
0.461 0.654 0.807 Al
0.499 0.999 0.500 Al
0.001 0.001 0.000 La
0.262 0.762 0.500 Ni
```

Symmetry: Imm2
VASP energy, eV/atom: -4.6157

=====

Entry 8:
This record from OQMD describes a relaxed structure of Y2Cu2SiPb. The functional is PBE.

POSCAR file:
```
Y2Cu2SiPb
1.0
11.015 0.000 0.000
0.000 4.512 0.000
-3.664 0.000 10.409
Pb Si Cu Y
4 4 8 8
Direct
0.126 0.000 0.626 Pb
0.374 0.000 0.374 Pb
0.629 0.000 0.128 Pb
0.251 0.500 0.999 Pb
0.870 0.000 0.873 Si
0.501 0.500 0.746 Si
0.995 0.500 0.248 Si
0.751 0.500 0.505 Si
0.868 0.000 0.630 Cu
0.988 0.500 0.998 Cu
0.631 0.000 0.868 Cu
0.510 0.500 0.514 Cu
0.766 0.500 0.259 Cu
0.110 0.000 0.361 Cu
0.374 0.000 0.125 Cu
0.263 0.500 0.748 Cu
0.992 0.500 0.751 Y
0.511 0.500 0.261 Y
0.109 0.000 0.118 Y
0.628 0.000 0.628 Y
0.386 0.000 0.870 Y
0.748 0.500 0.995 Y
0.246 0.500 0.492 Y
0.874 0.000 0.383 Y
```

Symmetry: Pm
VASP energy, eV/atom: -5.3516

=====

Entry 9:
This record from OQMD describes a relaxed structure of PrAuSO. The functional is PBE.

POSCAR file:
```
PrAuSO
1.0
7.672 0.000 0.000
0.000 6.771 0.000
0.000 0.000 5.795
Pr O Au S
4 4 4 4
Direct
0.907 0.184 0.995 Pr
0.093 0.816 0.495 Pr
0.407 0.816 0.995 Pr
0.593 0.184 0.495 Pr
0.656 0.987 0.153 O
0.156 0.013 0.153 O
0.844 0.987 0.653 O
0.344 0.013 0.653 O
0.324 0.260 0.097 Au
0.824 0.740 0.097 Au
0.176 0.260 0.597 Au
0.676 0.740 0.597 Au
0.587 0.413 0.005 S
0.413 0.587 0.505 S
0.087 0.587 0.005 S
0.913 0.413 0.505 S
```

Excess energy over the best structure of this formula in the dataset, meV/atom: 349.1
Symmetry: Pca2_1

=====

Entry 10:
This record from OQMD describes a relaxed structure of TaCuBPt. The functional is PBE.

POSCAR file:
```
TaCuBPt
1.0
-1.301 -3.683 1.682
-1.587 -0.094 3.945
-4.148 -0.713 0.607
B Ta Pt Cu
1 1 1 1
Direct
0.000 0.000 0.000 B
0.250 0.250 0.250 Ta
0.500 0.500 0.500 Pt
0.750 0.750 0.750 Cu
```

Excess energy over the best structure of this formula in the dataset, meV/atom: 0.0
Symmetry: F-43m

=====

Entry 11:
This record from OQMD describes a relaxed structure of Er3Sb3W2N12. The functional is PBE.

POSCAR file:
```
Er3Sb3W2N12
1.0
-3.697 -10.437 0.336
-8.550 6.978 0.954
5.162 1.781 -9.638
Sb N W Er
12 48 8 12
Direct
0.250 0.125 0.875 Sb
0.375 0.250 0.625 Sb
0.875 0.250 0.125 Sb
0.125 0.875 0.250 Sb
0.750 0.875 0.125 Sb
0.375 0.625 0.750 Sb
0.875 0.125 0.750 Sb
0.750 0.375 0.625 Sb
0.625 0.375 0.250 Sb
0.250 0.625 0.375 Sb
0.625 0.750 0.375 Sb
0.125 0.750 0.875 Sb
0.469 0.382 0.297 N
0.531 0.413 0.828 N
0.914 0.118 0.587 N
0.086 0.882 0.413 N
0.586 0.172 0.203 N
0.586 0.913 0.382 N
0.087 0.969 0.672 N
0.672 0.087 0.969 N
0.913 0.382 0.586 N
0.203 0.118 0.031 N
0.672 0.086 0.703 N
0.414 0.828 0.797 N
0.828 0.531 0.413 N
0.969 0.797 0.882 N
0.587 0.172 0.469 N
0.118 0.587 0.914 N
0.328 0.913 0.031 N
0.087 0.618 0.414 N
0.328 0.914 0.297 N
0.913 0.031 0.328 N
0.882 0.969 0.797 N
0.797 0.882 0.969 N
0.413 0.828 0.531 N
0.828 0.797 0.414 N
0.031 0.328 0.913 N
0.382 0.586 0.913 N
0.703 0.672 0.086 N
0.703 0.531 0.618 N
0.618 0.703 0.531 N
0.172 0.203 0.586 N
0.382 0.297 0.469 N
0.969 0.672 0.087 N
0.914 0.297 0.328 N
0.414 0.087 0.618 N
0.587 0.914 0.118 N
0.797 0.414 0.828 N
0.118 0.031 0.203 N
0.086 0.703 0.672 N
0.297 0.469 0.382 N
0.031 0.203 0.118 N
0.618 0.414 0.087 N
0.469 0.587 0.172 N
0.413 0.086 0.882 N
0.882 0.413 0.086 N
0.172 0.469 0.587 N
0.203 0.586 0.172 N
0.531 0.618 0.703 N
0.297 0.328 0.914 N
0.000 0.000 0.000 W
0.500 0.000 0.500 W
0.000 0.500 0.000 W
0.500 0.500 0.500 W
0.000 0.000 0.500 W
0.500 0.000 0.000 W
0.000 0.500 0.500 W
0.500 0.500 0.000 W
0.750 0.625 0.875 Er
0.625 0.250 0.875 Er
0.750 0.125 0.375 Er
0.125 0.375 0.750 Er
0.125 0.250 0.375 Er
0.875 0.625 0.250 Er
0.375 0.750 0.125 Er
0.250 0.375 0.125 Er
0.375 0.125 0.250 Er
0.250 0.875 0.625 Er
0.625 0.875 0.750 Er
0.875 0.750 0.625 Er
```

Symmetry: Ia-3d
VASP energy, eV/atom: -7.9449

=====

Entry 12:
This record from OQMD describes a relaxed structure of LiHfBi. The functional is PBE.

POSCAR file:
```
LiHfBi
1.0
0.000 3.186 3.186
3.186 0.000 3.186
3.186 3.186 0.000
Li Bi Hf
1 1 1
Direct
0.000 0.000 0.000 Li
0.250 0.250 0.250 Bi
0.750 0.750 0.750 Hf
```

Symmetry: F-43m
VASP energy, eV/atom: -5.0038

=====

Entry 13:
This record from OQMD describes a relaxed structure of Gd3Ga5O12. The functional is PBE.

POSCAR file:
```
Gd3Ga5O12
1.0
6.177 6.177 6.177
-6.177 6.177 -6.177
-6.177 -6.177 6.177
O Ga Gd
48 20 12
Direct
0.178 0.972 0.594 O
0.416 0.322 0.794 O
0.122 0.094 0.916 O
0.206 0.084 0.178 O
0.028 0.822 0.906 O
0.472 0.878 0.294 O
0.084 0.378 0.406 O
0.472 0.094 0.178 O
0.706 0.028 0.622 O
0.322 0.416 0.294 O
0.706 0.178 0.084 O
0.294 0.822 0.916 O
0.206 0.622 0.028 O
0.584 0.406 0.378 O
0.822 0.294 0.416 O
0.878 0.906 0.084 O
0.972 0.178 0.094 O
0.622 0.916 0.094 O
0.122 0.528 0.206 O
0.528 0.122 0.706 O
0.878 0.472 0.794 O
0.322 0.406 0.028 O
0.406 0.584 0.878 O
0.594 0.678 0.472 O
0.094 0.472 0.678 O
0.178 0.706 0.584 O
0.794 0.916 0.822 O
0.594 0.416 0.122 O
0.972 0.294 0.878 O
0.822 0.028 0.406 O
0.028 0.706 0.122 O
0.584 0.678 0.206 O
0.294 0.972 0.378 O
0.916 0.794 0.322 O
0.678 0.584 0.706 O
0.528 0.906 0.822 O
0.416 0.594 0.622 O
0.794 0.378 0.972 O
0.916 0.622 0.594 O
0.094 0.122 0.416 O
0.906 0.878 0.584 O
0.084 0.206 0.678 O
0.622 0.206 0.528 O
0.406 0.322 0.528 O
0.906 0.528 0.322 O
0.678 0.594 0.972 O
0.378 0.084 0.906 O
0.378 0.794 0.472 O
0.375 0.125 0.750 Ga
0.500 0.500 0.500 Ga
0.250 0.625 0.875 Ga
0.625 0.250 0.375 Ga
0.750 0.375 0.125 Ga
0.125 0.250 0.875 Ga
0.500 0.000 0.000 Ga
0.000 0.500 0.500 Ga
0.000 0.000 0.500 Ga
0.500 0.000 0.500 Ga
0.125 0.375 0.250 Ga
0.500 0.500 0.000 Ga
0.875 0.625 0.750 Ga
0.000 0.000 0.000 Ga
0.000 0.500 0.000 Ga
0.375 0.750 0.625 Ga
0.875 0.750 0.125 Ga
0.250 0.125 0.375 Ga
0.750 0.875 0.625 Ga
0.625 0.875 0.250 Ga
0.250 0.875 0.125 Gd
0.875 0.250 0.625 Gd
0.375 0.625 0.250 Gd
0.125 0.750 0.375 Gd
0.250 0.375 0.625 Gd
0.625 0.750 0.875 Gd
0.750 0.625 0.375 Gd
0.625 0.375 0.750 Gd
0.125 0.875 0.750 Gd
0.375 0.250 0.125 Gd
0.875 0.125 0.250 Gd
0.750 0.125 0.875 Gd
```

Symmetry: Ia-3d
VASP energy, eV/atom: -6.9681

=====

Entry 14:
This record from OQMD describes a relaxed structure of RbGdAlTe3. The functional is PBE.

POSCAR file:
```
RbGdAlTe3
1.0
-3.305 -4.170 -10.942
-3.674 -2.703 2.140
-8.434 10.356 -1.400
Te Rb Gd Al
12 4 4 4
Direct
0.792 0.750 0.800 Te
0.708 0.250 0.300 Te
0.551 0.250 0.674 Te
0.592 0.750 0.064 Te
0.051 0.250 0.826 Te
0.292 0.750 0.700 Te
0.908 0.250 0.564 Te
0.408 0.250 0.936 Te
0.449 0.750 0.326 Te
0.949 0.750 0.174 Te
0.208 0.250 0.200 Te
0.092 0.750 0.436 Te
0.820 0.250 0.008 Rb
0.320 0.250 0.492 Rb
0.180 0.750 0.992 Rb
0.680 0.750 0.508 Rb
0.027 0.750 0.675 Gd
0.473 0.250 0.175 Gd
0.973 0.250 0.325 Gd
0.527 0.750 0.825 Gd
0.765 0.250 0.723 Al
0.235 0.750 0.277 Al
0.265 0.250 0.777 Al
0.735 0.750 0.223 Al
```

Excess energy over the best structure of this formula in the dataset, meV/atom: 22.8
Symmetry: Pnma

=====

Entry 15:
This record from OQMD describes a relaxed structure of PmAgSeO. The functional is PBE.

POSCAR file:
```
PmAgSeO
1.0
-4.569 -2.141 -2.688
3.164 -0.876 -4.680
2.204 -8.598 3.100
Ag Se Pm O
4 4 4 4
Direct
0.250 0.250 0.500 Ag
0.750 0.250 0.500 Ag
0.250 0.750 0.500 Ag
0.750 0.750 0.500 Ag
0.000 0.500 0.296 Se
0.500 0.000 0.296 Se
0.000 0.000 0.704 Se
0.500 0.500 0.704 Se
0.500 0.500 0.124 Pm
0.000 0.500 0.877 Pm
0.000 0.000 0.124 Pm
0.500 0.000 0.877 Pm
0.750 0.750 0.000 O
0.750 0.250 0.000 O
0.250 0.250 0.000 O
0.250 0.750 0.000 O
```

Excess energy over the best structure of this formula in the dataset, meV/atom: 0.3
Symmetry: P4mm

=====

Entry 16:
This record from OQMD describes a relaxed structure of HfBeCo. The functional is PBE.

POSCAR file:
```
HfBeCo
1.0
-2.920 5.229 -1.675
-3.301 -1.366 1.490
1.491 2.677 5.757
Hf Co Be
4 4 4
Direct
0.011 0.750 0.694 Hf
0.489 0.250 0.194 Hf
0.511 0.750 0.806 Hf
0.989 0.250 0.306 Hf
0.663 0.250 0.562 Co
0.337 0.750 0.438 Co
0.163 0.250 0.938 Co
0.837 0.750 0.062 Co
0.303 0.250 0.601 Be
0.197 0.750 0.101 Be
0.697 0.750 0.399 Be
0.803 0.250 0.899 Be
```

Excess energy over the best structure of this formula in the dataset, meV/atom: 0.0
Symmetry: Pnma